Record 1
# Ta5TiRu6

A relaxed structure of Ta5TiRu6 (GGA-PBE, Alexandria via LeMat-Bulk).

Calculated values
SG: Immm (71)
DFT total energy, eV per atom: -10.65

Lattice parameters (Å, degrees): 7.5859 7.5859 7.5859 146.76 126.90 64.10
With the nearest neighbours (Å) after each atom.
Atoms (fractional coordinates):
Ta  0.0000  0.0000  0.0000  8 Ru 2.81-2.88, 4 Ta 2.90
Ta  0.1492  0.6492  0.5000  8 Ru 2.70-2.84, 2 Ta 2.90
Ta  0.3234  0.3234  0.0000  8 Ru 2.68-2.72
Ta  0.6766  0.6766  0.0000  8 Ru 2.68-2.72
Ta  0.8508  0.3508  0.5000  8 Ru 2.70-2.84, 2 Ta 2.90
Ti  0.5000  0.0000  0.5000  8 Ru 2.63-2.66
Ru  0.1006  0.8331  0.2675  1 Ti 2.66, 7 Ta 2.68-2.84
Ru  0.2795  0.5000  0.7795  2 Ti 2.63, 6 Ta 2.70-2.88
Ru  0.4344  0.1669  0.2675  1 Ti 2.66, 7 Ta 2.68-2.84
Ru  0.5656  0.8331  0.7325  1 Ti 2.66, 7 Ta 2.68-2.84
Ru  0.7205  0.5000  0.2205  2 Ti 2.63, 6 Ta 2.70-2.88
Ru  0.8994  0.1669  0.7325  1 Ti 2.66, 7 Ta 2.68-2.84

Record 2
# BeAlH2

A relaxed structure of BeAlH2 (GGA-PBE, Alexandria via LeMat-Bulk).

Calculated values
SG: P1 (1)
DFT total energy, eV per atom: -3.36

Lattice parameters (Å, degrees): 4.4385 4.4429 4.5662 102.67 96.62 108.71
With the nearest neighbours (Å) after each atom.
Atoms (fractional coordinates):
Be  0.0000  0.0000  0.0000  2 H 1.43-1.47
Be  0.3372  0.4091  0.4123  3 H 1.43-1.46
Al  0.1415  0.4958  0.8872  2 H 1.77-1.83
Al  0.4952  0.0454  0.7702  1 H 1.78
H  0.0159  0.1668  0.3211  2 Be 1.43-1.47
H  0.4010  0.6809  0.2693  1 Be 1.46
H  0.5752  0.2581  0.4822  1 Be 1.46
H  0.8461  0.6620  0.9977  1 Be 1.43

Record 3
# BeCdPt3

A relaxed structure of BeCdPt3 (GGA-PBE, Alexandria via LeMat-Bulk).

Calculated values
SG: C2/m (12)
DFT total energy, eV per atom: -4.85

Lattice parameters (Å, degrees): 6.9601 6.9601 5.4798 103.78 103.78 38.17
With the nearest neighbours (Å) after each atom.
Atoms (fractional coordinates):
Be  0.2055  0.2055  0.4403  3 Pt 2.21-2.30
Be  0.7945  0.7945  0.5597  3 Pt 2.21-2.30
Cd  0.4078  0.4078  0.2860  7 Pt 2.79-2.92, 1 Cd 2.92, 1 Be 2.99
Cd  0.5922  0.5922  0.7140  7 Pt 2.79-2.92, 1 Cd 2.92, 1 Be 2.99
Pt  0.0322  0.0322  0.2806  1 Be 2.23
Pt  0.1922  0.1922  0.0137  1 Be 2.30
Pt  0.3520  0.3520  0.7439  1 Be 2.21
Pt  0.6480  0.6480  0.2561  1 Be 2.21
Pt  0.8078  0.8078  0.9863  1 Be 2.30
Pt  0.9678  0.9678  0.7194  1 Be 2.23

Record 4
# Ba3Ce2N4

A relaxed structure of Ba3Ce2N4 (GGA-PBE, Alexandria via LeMat-Bulk).

Calculated values
SG: C2/m (12)
Formation energy from raw total energies, eV per atom: -0.83
DFT total energy, eV per atom: -6.49

Lattice parameters (Å, degrees): 6.9954 6.9954 9.9829 123.55 123.55 33.07
With the nearest neighbours (Å) after each atom.
Atoms (fractional coordinates):
Ba  0.0000  0.0000  0.0000  6 N 2.92-2.96
Ba  0.1810  0.1810  0.7943  2 N 2.75
Ba  0.8190  0.8190  0.2057  2 N 2.75
Ce  0.3844  0.3844  0.6176  4 N 2.23-2.37
Ce  0.6156  0.6156  0.3824  4 N 2.23-2.37
N  0.1957  0.1957  0.3553  3 Ce 2.35-2.37
N  0.4304  0.4304  0.1460  1 Ce 2.23
N  0.5696  0.5696  0.8540  1 Ce 2.23
N  0.8043  0.8043  0.6447  3 Ce 2.35-2.37

Record 5
# Ni2PIrI

A relaxed structure of Ni2PIrI (GGA-PBE, Alexandria via LeMat-Bulk).

Calculated values
SG: P4/mmm (123)
Formation energy from raw total energies, eV per atom: 1.83
DFT total energy, eV per atom: -3.65

Lattice parameters (Å, degrees): 4.4721 4.4721 5.1713 90.00 90.00 90.00
With the nearest neighbours (Å) after each atom.
Atoms (fractional coordinates):
Ni  0.0000  0.5000  0.0000  2 I 2.24
Ni  0.5000  0.0000  0.0000  2 I 2.24
P  0.0000  0.0000  0.5000  2 I 2.59
Ir  0.5000  0.5000  0.5000  4 P 3.16, 8 Ni 3.42
I  0.0000  0.0000  0.0000  4 Ni 2.24

Record 6
# Er4ZnS2

A relaxed structure of Er4ZnS2 (GGA-PBE, Alexandria via LeMat-Bulk).

Calculated values
SG: Cmcm (63)
Formation energy from raw total energies, eV per atom: -1.23
DFT total energy, eV per atom: -5.20

Lattice parameters (Å, degrees): 6.5907 6.5907 13.3338 90.00 90.00 145.67
With the nearest neighbours (Å) after each atom.
Atoms (fractional coordinates):
Er  0.0000  0.0000  0.0000  4 S 2.71
Er  0.0000  0.0000  0.5000  4 S 2.71
Er  0.2713  0.7287  0.6209  3 S 2.68-2.71, 2 Zn 2.98
Er  0.2713  0.7287  0.8791  3 S 2.68-2.71, 2 Zn 2.98
Er  0.4402  0.5598  0.2500  2 S 2.71, 2 Zn 2.91
Er  0.5598  0.4402  0.7500  2 S 2.71, 2 Zn 2.91
Er  0.7287  0.2713  0.1209  3 S 2.68-2.71, 2 Zn 2.98
Er  0.7287  0.2713  0.3791  3 S 2.68-2.71, 2 Zn 2.98
Zn  0.1126  0.8874  0.2500  6 Er 2.91-2.98
Zn  0.8874  0.1126  0.7500  6 Er 2.91-2.98
S  0.3640  0.6360  0.0596  6 Er 2.68-2.71
S  0.3640  0.6360  0.4404  6 Er 2.68-2.71
S  0.6360  0.3640  0.5596  6 Er 2.68-2.71
S  0.6360  0.3640  0.9404  6 Er 2.68-2.71

Record 7
# CsAu2

A relaxed structure of CsAu2 (GGA-PBE, Alexandria via LeMat-Bulk).

Calculated values
SG: Fd-3m (227)
DFT total energy, eV per atom: -2.57

Lattice parameters (Å, degrees): 6.1334 6.1334 6.1334 60.00 60.00 60.00
With the nearest neighbours (Å) after each atom.
Atoms (fractional coordinates):
Cs  0.1250  0.1250  0.1250  12 Au 3.60, 4 Cs 3.76
Cs  0.8750  0.8750  0.8750  12 Au 3.60, 4 Cs 3.76
Au  0.0000  0.5000  0.5000  6 Au 3.07
Au  0.5000  0.0000  0.5000  6 Au 3.07
Au  0.5000  0.5000  0.0000  6 Au 3.07
Au  0.5000  0.5000  0.5000  6 Au 3.07

Record 8
# CsBaCBr2

A relaxed structure of CsBaCBr2 (GGA-PBE, Alexandria via LeMat-Bulk).

Calculated values
SG: P4/mmm (123)
Formation energy from raw total energies, eV per atom: 0.39
DFT total energy, eV per atom: -2.68

Lattice parameters (Å, degrees): 5.8722 5.8722 4.9120 90.00 90.00 90.00
With the nearest neighbours (Å) after each atom.
Atoms (fractional coordinates):
Cs  0.0000  0.0000  0.0000  2 C 2.46
Ba  0.5000  0.5000  0.0000  8 Br 3.83, 4 Cs 4.15
C  0.0000  0.0000  0.5000  2 Cs 2.46
Br  0.0000  0.5000  0.5000  2 C 2.94
Br  0.5000  0.0000  0.5000  2 C 2.94